FePIr4 (PBE-GGA, relaxed); calculated total energy = -45.0 eV/f.u.; DOS at the Fermi energy = 1.104 states/eV per atom
1.0
0.000 3.648 3.648
3.648 0.000 3.648
3.648 3.648 0.000
Fe P Ir
1 1 4
direct
0.000 0.000 0.000
0.250 0.250 0.250
0.125 0.625 0.625
0.625 0.125 0.625
0.625 0.625 0.125
0.625 0.625 0.625

Nd2Sm2Dy4Ho (PBE-GGA, relaxed); calculated total energy = -41.9 eV/f.u.; DOS at the Fermi energy = 1.328 states/eV per atom
1.0
9.396 -1.811 0.000
9.396 1.811 0.000
-4.179 0.000 8.677
Nd Sm Dy Ho
2 2 4 1
direct
0.165 0.165 0.001
0.835 0.835 0.999
0.353 0.353 0.337
0.647 0.647 0.663
0.019 0.019 0.332
0.315 0.315 0.665
0.685 0.685 0.335
0.981 0.981 0.668
0.500 0.500 0.000

Ba2TeRhO6 (PBE-GGA, relaxed); calculated total energy = -61.1 eV/f.u.; energy relative to the elements, uncorrected = -17.1 eV/f.u.
1.0
2.955 1.706 10.228
-2.955 1.706 10.228
0.000 -3.412 10.228
Ba Te Rh O
4 2 2 12
direct
0.119 0.119 0.119
0.293 0.293 0.293
0.707 0.707 0.707
0.881 0.881 0.881
0.000 0.000 0.000
0.500 0.500 0.500
0.411 0.411 0.411
0.589 0.589 0.589
0.158 0.611 0.611
0.206 0.206 0.708
0.206 0.708 0.206
0.292 0.794 0.794
0.389 0.389 0.842
0.389 0.842 0.389
0.611 0.158 0.611
0.611 0.611 0.158
0.708 0.206 0.206
0.794 0.292 0.794
0.794 0.794 0.292
0.842 0.389 0.389

Mn5Fe2Pd12 (PBE-GGA, relaxed); calculated total energy = -126.4 eV/f.u.; DOS at the Fermi energy = 0.478 states/eV per atom
1.0
6.156 -3.762 0.000
6.156 3.762 0.000
-0.017 0.000 6.368
Mn Fe Pd
5 2 12
direct
0.000 0.000 0.000
0.238 0.238 0.925
0.301 0.301 0.481
0.699 0.699 0.519
0.762 0.762 0.075
0.300 0.700 0.500
0.700 0.300 0.500
0.030 0.662 0.745
0.094 0.094 0.612
0.178 0.576 0.159
0.338 0.970 0.255
0.424 0.822 0.841
0.442 0.442 0.805
0.558 0.558 0.195
0.576 0.178 0.159
0.662 0.030 0.745
0.822 0.424 0.841
0.906 0.906 0.388
0.970 0.338 0.255

CrH2 (PBE-GGA, relaxed); calculated total energy = -14.5 eV/f.u.; DOS at the Fermi energy = 0.553 states/eV per atom
1.0
0.000 2.618 2.618
2.618 0.000 2.618
2.618 2.618 0.000
Cr H
2 4
direct
0.125 0.125 0.125
0.875 0.875 0.875
0.000 0.500 0.500
0.500 0.000 0.500
0.500 0.500 0.000
0.500 0.500 0.500

TaCr2Sb (PBE-GGA, relaxed); energy relative to the lowest polymorph listed for this composition = 0.727 eV/atom; calculated total energy = -31.9 eV/f.u.; DOS at the Fermi energy = 1.056 states/eV per atom; energy relative to the elements, uncorrected = 3.4 eV/f.u.
1.0
7.286 0.000 0.000
0.000 7.286 0.000
0.000 0.000 5.651
Ta Cr Sb
4 8 4
direct
0.000 0.000 0.000
0.000 0.500 0.250
0.500 0.000 0.750
0.500 0.500 0.500
0.235 0.250 0.125
0.250 0.735 0.375
0.250 0.765 0.875
0.265 0.250 0.625
0.735 0.750 0.625
0.750 0.235 0.875
0.750 0.265 0.375
0.765 0.750 0.125
0.000 0.000 0.500
0.000 0.500 0.750
0.500 0.000 0.250
0.500 0.500 0.000

NaSr2S (PBE-GGA, relaxed); calculated total energy = -12.3 eV/f.u.; DOS at the Fermi energy = 0.858 states/eV per atom; energy relative to the elements, uncorrected = -3.5 eV/f.u.
1.0
4.128 0.000 0.000
-2.064 3.575 0.000
0.000 0.000 33.265
Na Sr S
3 6 3
direct
0.000 0.000 0.000
0.333 0.667 0.667
0.667 0.333 0.333
0.000 0.000 0.113
0.000 0.000 0.887
0.333 0.667 0.554
0.333 0.667 0.779
0.667 0.333 0.221
0.667 0.333 0.446
0.000 0.000 0.500
0.333 0.667 0.167
0.667 0.333 0.833

Mn3Cu2 (PBE-GGA, relaxed); energy relative to the lowest polymorph listed for this composition = 0.143 eV/atom; calculated total energy = -34.0 eV/f.u.; DOS at the Fermi energy = 0.918 states/eV per atom
1.0
0.000 6.362 2.363
4.449 0.000 2.363
4.449 6.362 0.000
Mn Cu
6 4
direct
0.000 0.000 0.000
0.250 0.250 0.250
0.373 0.644 0.424
0.644 0.373 0.559
0.691 0.826 0.606
0.826 0.691 0.877
0.101 0.465 0.996
0.254 0.811 0.149
0.465 0.101 0.439
0.811 0.254 0.785

NpCu6O12 (PBE-GGA, relaxed); calculated total energy = -113.2 eV/f.u.; DOS at the Fermi energy = 0.393 states/eV per atom; energy relative to the elements, uncorrected = -16.2 eV/f.u.
1.0
4.158 2.401 4.438
-4.158 2.401 4.438
0.000 -4.802 4.438
Np Cu O
1 6 12
direct
0.000 0.000 0.000
0.137 0.586 0.320
0.320 0.137 0.586
0.414 0.680 0.863
0.586 0.320 0.137
0.680 0.863 0.414
0.863 0.414 0.680
0.097 0.324 0.476
0.146 0.787 0.810
0.190 0.854 0.213
0.213 0.190 0.854
0.324 0.476 0.097
0.476 0.097 0.324
0.524 0.903 0.676
0.676 0.524 0.903
0.787 0.810 0.146
0.810 0.146 0.787
0.854 0.213 0.190
0.903 0.676 0.524

MoAuSe2 (PBE-GGA, relaxed); energy relative to the lowest polymorph listed for this composition = 0.326 eV/atom; calculated total energy = -20.5 eV/f.u.; DOS at the Fermi energy = 0.807 states/eV per atom; energy relative to the elements, uncorrected = 0.6 eV/f.u.
1.0
3.491 0.000 0.000
0.000 3.493 0.000
-0.014 0.000 6.840
Mo Au Se
1 1 2
direct
0.000 0.000 0.000
0.499 0.500 0.752
0.500 0.500 0.168
0.998 0.000 0.625

HfCrW (PBE-GGA, relaxed); energy relative to the lowest polymorph listed for this composition = 0.272 eV/atom; calculated total energy = -32.1 eV/f.u.; DOS at the Fermi energy = 0.542 states/eV per atom
1.0
8.948 0.000 0.000
0.000 5.069 0.000
-3.195 0.000 4.382
Hf Cr W
4 4 4
direct
0.000 0.000 0.000
0.120 0.500 0.865
0.500 0.500 0.000
0.620 0.000 0.865
0.248 0.252 0.497
0.248 0.748 0.497
0.748 0.248 0.497
0.748 0.752 0.497
0.379 0.000 0.137
0.499 0.500 0.497
0.879 0.500 0.137
0.999 0.000 0.497

Pm2InSe3 (PBE-GGA, relaxed); calculated total energy = -29.8 eV/f.u.; DOS at the Fermi energy = 0.282 states/eV per atom; energy relative to the elements, uncorrected = -7.2 eV/f.u.
1.0
3.736 0.000 0.000
0.000 5.181 0.000
0.000 0.000 16.691
Pm In Se
4 2 6
direct
0.000 0.000 0.148
0.000 0.000 0.852
0.500 0.500 0.352
0.500 0.500 0.648
0.000 0.000 0.500
0.500 0.500 0.000
0.000 0.000 0.322
0.000 0.000 0.678
0.000 0.500 0.500
0.500 0.000 0.000
0.500 0.500 0.178
0.500 0.500 0.822

- Among the records above, which one has the lowest calculated total energy?
  Mn5Fe2Pd12

What did the sixth record say?
TaCr2Sb (PBE-GGA, relaxed); energy relative to the lowest polymorph listed for this composition = 0.727 eV/atom; calculated total energy = -31.9 eV/f.u.; DOS at the Fermi energy = 1.056 states/eV per atom; energy relative to the elements, uncorrected = 3.4 eV/f.u.
1.0
7.286 0.000 0.000
0.000 7.286 0.000
0.000 0.000 5.651
Ta Cr Sb
4 8 4
direct
0.000 0.000 0.000
0.000 0.500 0.250
0.500 0.000 0.750
0.500 0.500 0.500
0.235 0.250 0.125
0.250 0.735 0.375
0.250 0.765 0.875
0.265 0.250 0.625
0.735 0.750 0.625
0.750 0.235 0.875
0.750 0.265 0.375
0.765 0.750 0.125
0.000 0.000 0.500
0.000 0.500 0.750
0.500 0.000 0.250
0.500 0.500 0.000

Copy entry 7 word for word.
NaSr2S (PBE-GGA, relaxed); calculated total energy = -12.3 eV/f.u.; DOS at the Fermi energy = 0.858 states/eV per atom; energy relative to the elements, uncorrected = -3.5 eV/f.u.
1.0
4.128 0.000 0.000
-2.064 3.575 0.000
0.000 0.000 33.265
Na Sr S
3 6 3
direct
0.000 0.000 0.000
0.333 0.667 0.667
0.667 0.333 0.333
0.000 0.000 0.113
0.000 0.000 0.887
0.333 0.667 0.554
0.333 0.667 0.779
0.667 0.333 0.221
0.667 0.333 0.446
0.000 0.000 0.500
0.333 0.667 0.167
0.667 0.333 0.833

- Among the records above, which one has the highest calculated total energy?
  NaSr2S